1.
## LiAcTbGe (PBE-GGA)

Data for a geometry-optimized LiAcTbGe structure.

Mass density: 7.251 g/cm3
ΔH_f (0 K): -122.0 kJ/mol of formula units

a = 7.527 Å, b = 7.527 Å, c = 7.527 Å
α = 90.00°, β = 90.00°, γ = 90.00°
Space group F-43m (No. 216)
Inequivalent atoms, fractional coordinates:
Li (0.000, 0.000, 0.000) x4
Ac (0.250, 0.250, 0.250) x4
Tb (0.250, 0.250, 0.750) x4
Ge (0.000, 0.000, 0.500) x4

2.
## Rb2AgCF6 (PBE-GGA)

Data for a geometry-optimized Rb2AgCF6 structure.

ΔE_f (raw): -1418.2 meV/atom
Mass density: 4.480 g/cm3

a = 5.956 Å, b = 5.956 Å, c = 8.459 Å
α = 90.00°, β = 90.00°, γ = 90.00°
Space group I4/mmm (No. 139)
Inequivalent atoms, fractional coordinates:
Rb (0.000, 0.500, 0.250) x4
Ag (0.000, 0.000, 0.000) x2
C (0.000, 0.000, 0.500) x2
F (0.000, 0.000, 0.288) x4
F (0.212, 0.212, 0.500) x8

3.
## GaHgOsO6 (PBE-GGA)

Data for a geometry-optimized GaHgOsO6 structure.

ΔE_f (raw): -951.7 meV/atom
Mass density: 7.996 g/cm3

a = 5.2211 Å, b = 5.2211 Å, c = 4.8956 Å
α = 90.00°, β = 90.00°, γ = 120.00°
Space group P312 (No. 149)
Inequivalent atoms, fractional coordinates:
Ga (0.0000, 0.0000, 0.0000) x1
Hg (0.6667, 0.3333, 0.5000) x1
Os (0.3333, 0.6667, 0.0000) x1
O (0.0513, 0.3469, 0.2172) x6

4.
## CaSc2Br (PBE-GGA)

Data for a geometry-optimized CaSc2Br structure.

Excess energy over the best structure of this formula in the dataset: 237 meV/atom
ΔE_f (raw): -219.1 meV/atom
Mass density: 3.137 g/cm3

a = 3.433 Å, b = 5.986 Å, c = 10.815 Å
α = 90.00°, β = 90.00°, γ = 90.00°
Space group Imm2 (No. 44)
Inequivalent atoms, fractional coordinates:
Ca (0.000, 0.000, 0.000) x2
Sc (0.000, 0.000, 0.442) x2
Sc (0.000, 0.500, 0.189) x2
Br (0.000, 0.500, 0.736) x2

5.
## CrIn2Au (PBE-GGA)

Data for a geometry-optimized CrIn2Au structure.

Excess energy over the best structure of this formula in the dataset: 60 meV/atom
Mass density: 9.791 g/cm3
ΔH_f (0 K): 67.8 kJ/mol of formula units

a = 3.627 Å, b = 3.520 Å, c = 6.359 Å
α = 90.00°, β = 90.39°, γ = 90.00°
Space group P2/m (No. 10)
Inequivalent atoms, fractional coordinates:
Cr (0.000, 0.000, 0.000) x1
In (0.500, 0.500, 0.249) x2
Au (0.000, 0.000, 0.500) x1

Which of these has the highest mass density?
CrIn2Au